# Co2Se2Br | the Alexandria database | PBE-GGA | relaxed
# Formation energy from raw total energies ... -112 meV per atom
data_Co2Se2Br
_chemical_formula_sum 'Co4 Se4 Br2'
_symmetry_space_group_name_H-M 'I 4/m m m'
_symmetry_Int_Tables_number 139
_symmetry_space_group_name_Hall '-I 4 2'
_cell_length_a 3.4605
_cell_length_b 3.4605
_cell_length_c 14.9721
_cell_angle_alpha 90.00
_cell_angle_beta 90.00
_cell_angle_gamma 90.00
loop_
_atom_site_label
_atom_site_fract_x
_atom_site_fract_y
_atom_site_fract_z
_atom_site_occupancy
Co1 0.0000 0.0000 0.1592 1
Se1 0.0000 0.0000 0.3161 1
Br1 0.0000 0.0000 0.0000 1